No. 1
Entry from Alexandria: an optimized crystal structure of RbSiSb (PBE).

a = 5.159 Å, b = 6.539 Å, c = 8.278 Å
α = 72.04°, β = 74.80°, γ = 69.96°
Space group P-1 (No. 2)
Symmetry-distinct sites (fractional):
Rb: 0.000 0.000 0.000
Rb: 0.500 0.000 0.500
Si: 0.172 0.582 0.493
Sb: 0.409 0.444 0.762

## Properties
Raw formation energy, eV/atom: -0.085



No. 2
Entry from Alexandria: an optimized crystal structure of TiSb (PBE).

a = 3.976 Å, b = 3.976 Å, c = 21.408 Å
α = 90.00°, β = 90.00°, γ = 90.00°
Space group I4_1/amd (No. 141, origin choice 2)
Symmetry-distinct sites (fractional):
Ti: 0.000 0.250 0.046
Sb: 0.000 0.250 0.183

## Properties
Raw formation energy, eV/atom: -0.303



No. 3
Entry from Alexandria: an optimized crystal structure of CeIn4Au4 (PBE).

a = 6.847 Å, b = 6.847 Å, c = 9.240 Å
α = 90.00°, β = 90.00°, γ = 90.00°
Space group P4_2/nmc (No. 137, origin choice 2)
Symmetry-distinct sites (fractional):
Ce: 0.250 0.750 0.250
In: 0.018 0.250 0.138
Au: 0.037 0.250 0.439

## Properties
Formation energy from the elements, eV per atom: -0.266



No. 4
Entry from Alexandria: an optimized crystal structure of Cs4KPb3I12 (PBE).

a = 12.800 Å, b = 12.800 Å, c = 12.800 Å
α = 90.00°, β = 90.00°, γ = 90.00°
Space group Im-3m (No. 229)
Symmetry-distinct sites (fractional):
Cs: 0.250 0.250 0.250
K: 0.000 0.000 0.000
Pb: 0.000 0.000 0.500
I: 0.000 0.000 0.259
I: 0.000 0.250 0.500

## Properties
Raw formation energy, eV/atom: -1.006



No. 5
Entry from Alexandria: an optimized crystal structure of TePb3 (PBE).

a = 5.026 Å, b = 5.026 Å, c = 5.026 Å
α = 90.00°, β = 90.00°, γ = 90.00°
Space group Pm-3m (No. 221)
Symmetry-distinct sites (fractional):
Te: 0.000 0.000 0.000
Pb: 0.000 0.500 0.500

## Properties
Relative energy among the computed polymorphs, meV per atom: 46
Raw formation energy, eV/atom: -0.019



No. 6
Entry from Alexandria: an optimized crystal structure of K2Br3N (PBE).

a = 15.722 Å, b = 6.426 Å, c = 11.720 Å
α = 90.00°, β = 128.87°, γ = 90.00°
Space group C2/m (No. 12)
Symmetry-distinct sites (fractional):
K: 0.123 0.000 0.427
K: 0.131 0.500 0.796
Br: 0.138 0.000 0.833
Br: 0.149 0.500 0.526
Br: 0.164 0.500 0.183
N: 0.049 0.500 0.182

## Properties
Raw formation energy, eV/atom: -0.538



No. 7
Entry from Alexandria: an optimized crystal structure of Li2AcNd2Sn2 (PBE).

a = 4.9150 Å, b = 4.9150 Å, c = 28.7809 Å
α = 90.00°, β = 90.00°, γ = 120.00°
Space group R-3m (No. 166, hexagonal axes)
Symmetry-distinct sites (fractional):
Li: 0.0000 0.0000 0.0856
Ac: 0.0000 0.0000 0.5000
Nd: 0.0000 0.0000 0.3683
Sn: 0.0000 0.0000 0.2422

## Properties
Formation energy from the elements, eV per atom: -0.478



No. 8
Entry from Alexandria: an optimized crystal structure of Nd2Pa3Se8 (PBE).

a = 14.951 Å, b = 8.237 Å, c = 6.867 Å
α = 90.00°, β = 107.39°, γ = 90.00°
Space group C2/m (No. 12)
Symmetry-distinct sites (fractional):
Nd: 0.243 0.000 0.169
Pa: 0.000 0.256 0.500
Pa: 0.000 0.500 0.000
Se: 0.109 0.000 0.411
Se: 0.123 0.260 0.914
Se: 0.125 0.500 0.414

## Properties
Relative energy among the computed polymorphs, meV per atom: 26
Raw formation energy, eV/atom: -1.461



No. 9
Entry from Alexandria: an optimized crystal structure of NaSiAg2 (PBE).

a = 5.314 Å, b = 5.314 Å, c = 16.497 Å
α = 90.00°, β = 90.00°, γ = 90.00°
Space group I4_1/amd (No. 141, origin choice 2)
Symmetry-distinct sites (fractional):
Na: 0.000 0.250 0.375
Si: 0.000 0.250 0.875
Ag: 0.000 0.000 0.000

## Properties
Raw formation energy, eV/atom: 0.287



No. 10
Entry from Alexandria: an optimized crystal structure of BaGaHgAu2 (PBE).

a = 4.622 Å, b = 4.622 Å, c = 12.170 Å
α = 90.00°, β = 90.00°, γ = 90.00°
Space group I-4m2 (No. 119)
Symmetry-distinct sites (fractional):
Ba: 0.000 0.000 0.000
Ga: 0.000 0.500 0.750
Hg: 0.000 0.500 0.250
Au: 0.000 0.000 0.385

## Properties
Relative energy among the computed polymorphs, meV per atom: 0
Formation energy from the elements, eV per atom: -0.470



No. 11
Entry from Alexandria: an optimized crystal structure of PmAsN (PBE).

a = 4.192 Å, b = 4.192 Å, c = 7.215 Å
α = 90.00°, β = 90.00°, γ = 90.00°
Space group I4mm (No. 107)
Symmetry-distinct sites (fractional):
Pm: 0.000 0.000 0.000
As: 0.000 0.000 0.441
N: 0.000 0.000 0.694

## Properties
Relative energy among the computed polymorphs, meV per atom: 363
Raw formation energy, eV/atom: -0.336



No. 12
Entry from Alexandria: an optimized crystal structure of Mg2HgAs (PBE).

a = 4.157 Å, b = 4.046 Å, c = 10.209 Å
α = 90.00°, β = 90.00°, γ = 90.00°
Space group Amm2 (No. 38)
Symmetry-distinct sites (fractional):
Mg: 0.000 0.000 0.000
Mg: 0.500 0.000 0.259
Hg: 0.500 0.000 0.529
As: 0.000 0.000 0.730

## Properties
Relative energy among the computed polymorphs, meV per atom: 74
Formation energy from the elements, eV per atom: -0.294



The evaluated E_tot for the records listed, in turn: -3.5897, -6.3117, -3.5986, -2.7182, -3.5859, -3.1280, -4.1180, -6.5306, -2.8236, -2.8312, -6.2442, -2.3293 eV per atom.